Record 1
# Cs2Te2As (PBE-GGA, relaxed)
data_Cs2Te2As
_cell_length_a 18.650
_cell_length_b 6.809
_cell_length_c 11.179
_cell_angle_alpha 90.00
_cell_angle_beta 124.66
_cell_angle_gamma 90.00
_symmetry_space_group_name_H-M 'C 1 2/m 1'
_symmetry_Int_Tables_number 12
loop_
_symmetry_equiv_pos_as_xyz
'x,y,z'
'-x,-y,-z'
'-x,y,-z'
'x,-y,z'
'x+1/2,y+1/2,z'
'-x+1/2,-y+1/2,-z'
'-x+1/2,y+1/2,-z'
'x+1/2,-y+1/2,z'
loop_
_atom_site_label
_atom_site_type_symbol
_atom_site_fract_x
_atom_site_fract_y
_atom_site_fract_z
Cs1 Cs 0.161 0.000 0.365
Cs2 Cs 0.165 0.500 0.800
Te1 Te 0.080 0.500 0.398
Te2 Te 0.215 0.500 0.197
As1 As 0.059 0.500 0.143
# Density   3.4 Mg/m³
# Formation energy (no corrections)   -0.628 eV per atom
# Energy above the lowest structure with this stoichiometry   0.101 eV/f.u.
# Total moment   0.00 μB/f.u.

***

Record 2
# BeAgW2 (PBE-GGA, relaxed)
data_BeAgW2
_cell_length_a 3.672
_cell_length_b 3.672
_cell_length_c 19.358
_cell_angle_alpha 90.00
_cell_angle_beta 90.00
_cell_angle_gamma 90.00
_symmetry_space_group_name_H-M 'I -4 2 d'
_symmetry_Int_Tables_number 122
_symmetry_space_group_name_Hall 'I -4 2bw'
loop_
_atom_site_label
_atom_site_type_symbol
_atom_site_fract_x
_atom_site_fract_y
_atom_site_fract_z
Be1 Be 0.000 0.000 0.000
Ag1 Ag 0.000 0.000 0.500
W1 W 0.236 0.250 0.125
# Density   12.3 Mg/m³
# Total moment   0.00 μB/f.u.
# ΔH_f (0 K)   0.99 eV/atom

***

Record 3
# SbRhAu2 (PBE-GGA, relaxed)
data_SbRhAu2
_cell_length_a 6.638
_cell_length_b 6.638
_cell_length_c 6.638
_cell_angle_alpha 90.00
_cell_angle_beta 90.00
_cell_angle_gamma 90.00
_symmetry_space_group_name_H-M 'F -4 3 m'
_symmetry_Int_Tables_number 216
_symmetry_space_group_name_Hall 'F -4 2 3'
loop_
_atom_site_label
_atom_site_type_symbol
_atom_site_fract_x
_atom_site_fract_y
_atom_site_fract_z
Sb1 Sb 0.000 0.000 0.000
Rh1 Rh 0.250 0.250 0.750
Au1 Au 0.000 0.000 0.500
Au2 Au 0.250 0.250 0.250
# Density   14.0 Mg/m³
# Formation energy (no corrections)   0.037 eV per atom
# Total moment   0.00 μB/f.u.

***

Record 4
# TlPdBr2 (PBE-GGA, relaxed)
data_TlPdBr2
_cell_length_a 4.9560
_cell_length_b 4.9560
_cell_length_c 24.5002
_cell_angle_alpha 90.00
_cell_angle_beta 90.00
_cell_angle_gamma 120.00
_symmetry_space_group_name_H-M 'R -3 m'
_symmetry_Int_Tables_number 166
_symmetry_space_group_name_Hall '-R 3 2"'
loop_
_atom_site_label
_atom_site_type_symbol
_atom_site_fract_x
_atom_site_fract_y
_atom_site_fract_z
Tl1 Tl 0.0000 0.0000 0.0000
Pd1 Pd 0.0000 0.0000 0.5000
Br1 Br 0.0000 0.0000 0.4009
# Density   4.5 Mg/m³
# Formation energy (no corrections)   -0.199 eV per atom
# Energy above the lowest structure with this stoichiometry   0.353 eV/f.u.
# Total moment   1.00 μB/f.u.

***

Record 5
# ZrIn2Os (PBE-GGA, relaxed)
data_ZrIn2Os
_cell_length_a 3.1246
_cell_length_b 3.1246
_cell_length_c 28.4806
_cell_angle_alpha 90.00
_cell_angle_beta 90.00
_cell_angle_gamma 120.00
_symmetry_space_group_name_H-M 'R -3 m'
_symmetry_Int_Tables_number 166
_symmetry_space_group_name_Hall '-R 3 2"'
loop_
_atom_site_label
_atom_site_type_symbol
_atom_site_fract_x
_atom_site_fract_y
_atom_site_fract_z
Zr1 Zr 0.0000 0.0000 0.0000
In1 In 0.0000 0.0000 0.2423
Os1 Os 0.0000 0.0000 0.5000
# Density   10.6 Mg/m³
# Total moment   0.00 μB/f.u.
# ΔH_f (0 K)   0.28 eV/atom

***

Record 6
# Ac8Si2Pb (PBE-GGA, relaxed)
data_Ac8Si2Pb
_cell_length_a 9.414
_cell_length_b 14.555
_cell_length_c 6.257
_cell_angle_alpha 90.00
_cell_angle_beta 102.03
_cell_angle_gamma 90.00
_symmetry_space_group_name_H-M 'C 1 2/m 1'
_symmetry_Int_Tables_number 12
loop_
_symmetry_equiv_pos_as_xyz
'x,y,z'
'-x,-y,-z'
'-x,y,-z'
'x,-y,z'
'x+1/2,y+1/2,z'
'-x+1/2,-y+1/2,-z'
'-x+1/2,y+1/2,-z'
'x+1/2,-y+1/2,z'
loop_
_atom_site_label
_atom_site_type_symbol
_atom_site_fract_x
_atom_site_fract_y
_atom_site_fract_z
Ac1 Ac 0.000 0.247 0.000
Ac2 Ac 0.115 0.500 0.792
Ac3 Ac 0.198 0.127 0.609
Si1 Si 0.000 0.310 0.500
Pb1 Pb 0.000 0.000 0.000
# Density   8.2 Mg/m³
# Formation energy (no corrections)   -0.217 eV per atom
# Total moment   0.00 μB/f.u.

***

Look up the total moment of the second one. 0.00 μB/f.u.

***

The highest density belongs to which entry? SbRhAu2

***

Number 6 is which compound? Ac8Si2Pb